1.
# SrPt3W, optimized geometry, DFT PBE
# SG	No. 221
# energy above the most stable polymorph in this dataset	0.000	eV/atom
data_SrPt3W
_chemical_formula_sum 'Sr1 Pt3 W1'
_space_group_name_H-M_alt 'P 1'
_space_group_IT_number 1
_space_group_name_Hall 'P 1'
_cell_length_a 4.9402
_cell_length_b 4.9402
_cell_length_c 4.9402
_cell_angle_alpha 90.00
_cell_angle_beta 90.00
_cell_angle_gamma 90.00
loop_
_atom_site_label
_atom_site_type_symbol
_atom_site_fract_x
_atom_site_fract_y
_atom_site_fract_z
Sr1 Sr 0.0000 0.0000 0.0000
Pt1 Pt 0.0000 0.5000 0.5000
Pt2 Pt 0.5000 0.0000 0.5000
Pt3 Pt 0.5000 0.5000 0.0000
W1 W 0.5000 0.5000 0.5000

2.
# Sr2PtW, optimized geometry, DFT PBE
# SG	No. 38
# energy above the most stable polymorph in this dataset	0.000	eV/atom
data_Sr2PtW
_chemical_formula_sum 'Sr2 Pt1 W1'
_space_group_name_H-M_alt 'P 1'
_space_group_IT_number 1
_space_group_name_Hall 'P 1'
_cell_length_a 4.3572
_cell_length_b 6.1462
_cell_length_c 6.1462
_cell_angle_alpha 47.21
_cell_angle_beta 90.00
_cell_angle_gamma 90.00
loop_
_atom_site_label
_atom_site_type_symbol
_atom_site_fract_x
_atom_site_fract_y
_atom_site_fract_z
Sr1 Sr 0.0000 0.0000 0.0000
Sr2 Sr 0.5000 0.2878 0.2878
Pt1 Pt 0.5000 0.5903 0.5903
W1 W 0.0000 0.6900 0.6900

3.
# SrPt2W, optimized geometry, DFT PBE
# SG	No. 12
# energy above the most stable polymorph in this dataset	0.197	eV/atom
data_SrPt2W
_chemical_formula_sum 'Sr1 Pt2 W1'
_space_group_name_H-M_alt 'P 1'
_space_group_IT_number 1
_space_group_name_Hall 'P 1'
_cell_length_a 4.3715
_cell_length_b 4.3715
_cell_length_c 7.0366
_cell_angle_alpha 95.62
_cell_angle_beta 95.62
_cell_angle_gamma 38.46
loop_
_atom_site_label
_atom_site_type_symbol
_atom_site_fract_x
_atom_site_fract_y
_atom_site_fract_z
Sr1 Sr 0.0000 0.0000 0.0000
Pt1 Pt 0.2500 0.2500 0.6878
Pt2 Pt 0.7500 0.7500 0.3122
W1 W 0.5000 0.5000 0.5000

4.
# Sr2PtW, optimized geometry, DFT PBE
# SG	No. 119
# energy above the most stable polymorph in this dataset	0.540	eV/atom
data_Sr2PtW
_chemical_formula_sum 'Sr2 Pt1 W1'
_space_group_name_H-M_alt 'P 1'
_space_group_IT_number 1
_space_group_name_Hall 'P 1'
_cell_length_a 5.9408
_cell_length_b 5.9408
_cell_length_c 5.9408
_cell_angle_alpha 134.73
_cell_angle_beta 134.73
_cell_angle_gamma 65.94
loop_
_atom_site_label
_atom_site_type_symbol
_atom_site_fract_x
_atom_site_fract_y
_atom_site_fract_z
Sr1 Sr 0.0000 0.0000 0.0000
Sr2 Sr 0.7500 0.2500 0.5000
Pt1 Pt 0.5000 0.5000 0.0000
W1 W 0.2500 0.7500 0.5000

5.
# Sr2PtW, optimized geometry, DFT PBE
# SG	No. 216
# energy above the most stable polymorph in this dataset	0.530	eV/atom
data_Sr2PtW
_chemical_formula_sum 'Sr2 Pt1 W1'
_space_group_name_H-M_alt 'P 1'
_space_group_IT_number 1
_space_group_name_Hall 'P 1'
_cell_length_a 5.1810
_cell_length_b 5.1810
_cell_length_c 5.1810
_cell_angle_alpha 60.00
_cell_angle_beta 60.00
_cell_angle_gamma 60.00
loop_
_atom_site_label
_atom_site_type_symbol
_atom_site_fract_x
_atom_site_fract_y
_atom_site_fract_z
Sr1 Sr 0.0000 0.0000 0.0000
Sr2 Sr 0.2500 0.2500 0.2500
Pt1 Pt 0.5000 0.5000 0.5000
W1 W 0.7500 0.7500 0.7500

6.
# SrZr2PtW, optimized geometry, DFT PBE
# SG	No. 123
data_SrZr2PtW
_chemical_formula_sum 'Sr1 Zr2 Pt1 W1'
_space_group_name_H-M_alt 'P 1'
_space_group_IT_number 1
_space_group_name_Hall 'P 1'
_cell_length_a 5.1065
_cell_length_b 5.1065
_cell_length_c 5.5299
_cell_angle_alpha 90.00
_cell_angle_beta 90.00
_cell_angle_gamma 90.00
loop_
_atom_site_label
_atom_site_type_symbol
_atom_site_fract_x
_atom_site_fract_y
_atom_site_fract_z
Sr1 Sr 0.0000 0.0000 0.0000
Zr1 Zr 0.0000 0.5000 0.5000
Zr2 Zr 0.5000 0.0000 0.5000
Pt1 Pt 0.0000 0.0000 0.5000
W1 W 0.5000 0.5000 0.0000

Energy of formation? In order: 0.10; 0.26; 0.00; 0.80; 0.79; 1.02 eV per atom.
DOS(E_F)? In order: 3.34; 4.40; 2.70; 2.06; 4.69; 6.84 states/eV/f.u..